Ca2TcIr | meta-GGA SCAN | single point on PBEsol structure

E_form: 1.6 eV/f.u.
Final energy: -123.9 eV for the cell shown
Polymorph energy (0 for the lowest one): 0.0 kJ per mole of atoms
Fermi-level density of states: 0.7447 states/eV per atom
Total magnetization: 2.086 μB per formula unit

Cell: 4.091 4.091 4.495 Å, 90.00 90.00 90.00°
Fractional coordinates of all 4 atoms:
Ca 0.000 0.500 0.000
Ca 0.500 0.000 0.000
Tc 0.000 0.000 0.500
Ir 0.500 0.500 0.500

CaTcIr | meta-GGA SCAN | single point on PBEsol structure

E_form: 0.3 eV/f.u.
Final energy: -115.5 eV for the cell shown
Polymorph energy (0 for the lowest one): 0.0 kJ per mole of atoms
Fermi-level density of states: 1.2302 states/eV per atom
Total magnetization: 0.007 μB per formula unit

Cell: 6.694 6.694 6.694 Å, 155.11 155.11 35.49°
Fractional coordinates of all 3 atoms:
Ca 0.000 0.000 0.000
Tc 0.302 0.302 0.000
Ir 0.681 0.681 0.000

CaTcIr2 | meta-GGA SCAN | single point on PBEsol structure

E_form: 1.6 eV/f.u.
Final energy: -185.4 eV for the cell shown
Polymorph energy (0 for the lowest one): 17.6 kJ per mole of atoms
Fermi-level density of states: 0.9511 states/eV per atom
Total magnetization: 0.001 μB per formula unit

Cell: 2.833 4.653 4.768 Å, 90.00 90.00 90.00°
Fractional coordinates of all 4 atoms:
Ca 0.000 0.000 0.000
Tc 0.500 0.000 0.500
Ir 0.000 0.500 0.500
Ir 0.500 0.500 0.000

CaTcIr | meta-GGA SCAN | single point on PBEsol structure

E_form: 1.5 eV/f.u.
Final energy: -114.3 eV for the cell shown
Polymorph energy (0 for the lowest one): 38.7 kJ per mole of atoms
Fermi-level density of states: 1.0991 states/eV per atom
Total magnetization: 0.000 μB per formula unit

Cell: 4.321 4.321 4.321 Å, 60.00 60.00 60.00°
Fractional coordinates of all 3 atoms:
Ca 0.000 0.000 0.000
Tc 0.250 0.250 0.250
Ir 0.500 0.500 0.500